No. 1
MnSn3Au: relaxed, PBE.

excess energy over the best structure of this formula in the dataset = 0 meV/atom
energy of formation from the pure elements = 0.14 eV/atom

Cell: 4.9431 4.9431 4.9431 Å, 90.00 90.00 90.00°
With the nearest neighbours (Å) after each atom.
Element x y z (fractional)
1 Mn 0.0000 0.0000 0.0000  6 Sn 2.47
2 Au 0.5000 0.5000 0.5000  12 Sn 3.50
3 Sn 0.0000 0.5000 0.0000  2 Mn 2.47
4 Sn 0.0000 0.0000 0.5000  2 Mn 2.47
5 Sn 0.5000 0.0000 0.0000  2 Mn 2.47

=====

No. 2
LiNpZn4: relaxed, PBE.

energy of formation from the pure elements = 0.06 eV/atom

Cell: 5.3398 5.3398 5.3398 Å, 60.00 60.00 60.00°
With the nearest neighbours (Å) after each atom.
Element x y z (fractional)
1 Np 0.0000 0.0000 0.0000  12 Zn 3.13, 4 Li 3.27
2 Zn 0.6243 0.6243 0.1270  6 Zn 2.66-2.68
3 Zn 0.6243 0.1270 0.6243  6 Zn 2.66-2.68
4 Zn 0.6243 0.6243 0.6243  6 Zn 2.66-2.68
5 Zn 0.1270 0.6243 0.6243  6 Zn 2.66-2.68
6 Li 0.2500 0.2500 0.2500  12 Zn 3.13, 4 Np 3.27

=====

No. 3
LiPu2P3Rh4: relaxed, PBE.

energy of formation from the pure elements = -0.87 eV/atom

Cell: 3.9900 3.9900 10.1118 Å, 90.00 90.00 90.00°
With the nearest neighbours (Å) after each atom.
Element x y z (fractional)
1 Li 0.5000 0.5000 0.5000  4 Rh 2.43
2 Pu 0.5000 0.0000 0.2576  8 Rh 3.02-3.28, 6 P 3.08-3.16, 2 Li 3.16
3 Pu 0.0000 0.5000 0.7424  8 Rh 3.02-3.28, 6 P 3.08-3.16, 2 Li 3.16
4 P 0.0000 0.0000 0.5000  4 Rh 2.43
5 P 0.5000 0.0000 0.8651  5 Rh 2.31-2.42
6 P 0.0000 0.5000 0.1349  5 Rh 2.31-2.42
7 Rh 0.5000 0.5000 0.0000  4 P 2.42
8 Rh 0.0000 0.0000 0.0000  4 P 2.42
9 Rh 0.5000 0.0000 0.6367  3 P 2.31-2.43, 2 Li 2.43
10 Rh 0.0000 0.5000 0.3633  3 P 2.31-2.43, 2 Li 2.43

=====

No. 4
Al2CdBr: relaxed, PBE.

formation energy (no corrections) = 193.5 meV per atom
excess energy over the best structure of this formula in the dataset = 146 meV/atom

Cell: 3.2855 4.7370 5.9084 Å, 90.00 90.00 90.00°
With the nearest neighbours (Å) after each atom.
Element x y z (fractional)
1 Al 0.0000 0.0000 0.9939  2 Al 2.88-3.03, 4 Cd 3.22
2 Al 0.0000 0.0000 0.5061  2 Al 2.88-3.03, 4 Cd 3.22
3 Br 0.5000 0.5000 0.2500  2 Cd 2.95, 8 Al 3.26, 2 Br 3.29
4 Cd 0.5000 0.5000 0.7500  2 Br 2.95, 8 Al 3.22, 2 Cd 3.29

=====

No. 5
Rb3DyY2Te6: relaxed, PBE.

formation energy (no corrections) = -1395.1 meV per atom

Cell: 7.8416 7.8416 8.9410 Å, 98.41 98.41 120.00°
With the nearest neighbours (Å) after each atom.
Element x y z (fractional)
1 Rb 0.1669 0.8331 0.5000  6 Te 3.66-3.67
2 Rb 0.8331 0.1669 0.5000  6 Te 3.66-3.67
3 Rb 0.5000 0.5000 0.5000  6 Te 3.66-3.67
4 Dy 0.0000 0.0000 0.0000  6 Te 3.12
5 Y 0.3334 0.6666 0.0000  6 Te 3.12
6 Y 0.6666 0.3334 0.0000  6 Te 3.12
7 Te 0.9335 0.6006 0.8006  1 Dy 3.12, 2 Y 3.12
8 Te 0.7336 0.7336 0.1996  1 Dy 3.12, 2 Y 3.12
9 Te 0.0665 0.3995 0.1994  1 Dy 3.12, 2 Y 3.12
10 Te 0.6006 0.9335 0.8006  1 Dy 3.12, 2 Y 3.12
11 Te 0.2664 0.2664 0.8004  1 Dy 3.12, 2 Y 3.12
12 Te 0.3995 0.0665 0.1994  1 Dy 3.12, 2 Y 3.12

=====

No. 6
TiCo2Sn: relaxed, PBE.

energy of formation from the pure elements = -0.24 eV/atom

Cell: 3.2830 4.1567 4.1567 Å, 90.00 90.00 90.00°
With the nearest neighbours (Å) after each atom.
Element x y z (fractional)
1 Co 0.0000 0.0000 0.5000  4 Sn 2.65, 4 Ti 2.65, 4 Co 2.94
2 Co 0.0000 0.5000 0.0000  4 Sn 2.65, 4 Ti 2.65, 4 Co 2.94
3 Sn 0.5000 0.5000 0.5000  8 Co 2.65, 4 Ti 2.94
4 Ti 0.5000 0.0000 0.0000  8 Co 2.65, 4 Sn 2.94

=====

No. 7
Pr2Zn3PdAu4: relaxed, PBE.

energy of formation from the pure elements = -0.52 eV/atom

Cell: 4.1677 4.1677 11.9401 Å, 90.00 90.00 90.00°
With the nearest neighbours (Å) after each atom.
Element x y z (fractional)
1 Pr 0.5000 0.0000 0.2539  4 Au 3.16, 4 Zn 3.27
2 Pr 0.0000 0.5000 0.7461  4 Au 3.16, 4 Zn 3.27
3 Zn 0.0000 0.0000 0.5000  4 Au 2.75, 4 Pd 2.95
4 Zn 0.5000 0.0000 0.8656  5 Au 2.57-2.63
5 Zn 0.0000 0.5000 0.1344  5 Au 2.57-2.63
6 Pd 0.5000 0.5000 0.5000  4 Au 2.75, 4 Zn 2.95
7 Au 0.5000 0.5000 0.0000  4 Zn 2.63
8 Au 0.0000 0.0000 0.0000  4 Zn 2.63
9 Au 0.5000 0.0000 0.6506  3 Zn 2.57-2.75, 2 Pd 2.75
10 Au 0.0000 0.5000 0.3494  3 Zn 2.57-2.75, 2 Pd 2.75

=====

No. 8
Ni3MoPd: relaxed, PBE.

excess energy over the best structure of this formula in the dataset = 0 meV/atom
energy of formation from the pure elements = 0.08 eV/atom

Cell: 6.3174 5.1357 4.2899 Å, 95.04 107.33 75.04°
With the nearest neighbours (Å) after each atom.
Element x y z (fractional)
1 Ni 0.4004 0.3333 0.9502  7 Ni 2.44-2.65, 1 Mo 2.61, 1 Pd 2.64
2 Ni 0.5851 0.9680 0.5338  7 Ni 2.44-2.65, 1 Mo 2.61, 1 Pd 2.64
3 Ni 0.4119 0.8443 0.9328  6 Ni 2.49-2.66, 3 Pd 2.51-2.54, 1 Mo 2.63
4 Ni 0.7760 0.9983 0.1261  4 Ni 2.44-2.51, 3 Pd 2.51-2.59, 2 Mo 2.71
5 Ni 0.2094 0.3034 0.3580  4 Ni 2.44-2.51, 3 Pd 2.51-2.59, 2 Mo 2.71
6 Ni 0.5736 0.4570 0.5510  6 Ni 2.49-2.66, 3 Pd 2.51-2.54, 1 Mo 2.63
7 Mo 0.9928 0.1508 0.7420  2 Mo 2.57, 8 Ni 2.63-2.84, 2 Pd 2.75
8 Mo 0.9927 0.6508 0.7420  2 Mo 2.57, 4 Ni 2.61-2.71, 4 Pd 2.65-2.76
9 Pd 0.2003 0.8080 0.3326  7 Ni 2.51-2.64, 3 Mo 2.65-2.76
10 Pd 0.7852 0.4936 0.1513  7 Ni 2.51-2.64, 3 Mo 2.65-2.76

=====

no.,volume (Å³/cell)
1,120.8
2,107.7
3,161.0
4,92.0
5,455.3
6,56.7
7,207.4
8,128.4